Record 1
# PBE In3Co, relaxed
# Crystal system: orthorhombic
data_In3Co
_cell_length_a 9.375
_cell_length_b 9.383
_cell_length_c 3.891
_cell_angle_alpha 90.00
_cell_angle_beta 90.00
_cell_angle_gamma 90.00
_symmetry_space_group_name_H-M 'C m m m'
_symmetry_Int_Tables_number 65
_symmetry_space_group_name_Hall '-C 2 2'
loop_
_atom_site_label
_atom_site_type_symbol
_atom_site_fract_x
_atom_site_fract_y
_atom_site_fract_z
In1 In 0.000 0.159 0.000
In2 In 0.156 0.500 0.000
In3 In 0.250 0.250 0.500
Co1 Co 0.139 0.000 0.500


Record 2
# PBE In3Co, relaxed
# Crystal system: orthorhombic
data_In3Co
_cell_length_a 5.686
_cell_length_b 8.423
_cell_length_c 3.462
_cell_angle_alpha 90.00
_cell_angle_beta 90.00
_cell_angle_gamma 90.00
_symmetry_space_group_name_H-M 'C m m m'
_symmetry_Int_Tables_number 65
_symmetry_space_group_name_Hall '-C 2 2'
loop_
_atom_site_label
_atom_site_type_symbol
_atom_site_fract_x
_atom_site_fract_y
_atom_site_fract_z
In1 In 0.000 0.000 0.000
In2 In 0.250 0.250 0.500
Co1 Co 0.000 0.500 0.000


Record 3
# PBE In5Co, relaxed
# Crystal system: cubic
data_In5Co
_cell_length_a 8.502
_cell_length_b 8.502
_cell_length_c 8.502
_cell_angle_alpha 90.00
_cell_angle_beta 90.00
_cell_angle_gamma 90.00
_symmetry_space_group_name_H-M 'F -4 3 m'
_symmetry_Int_Tables_number 216
_symmetry_space_group_name_Hall 'F -4 2 3'
loop_
_atom_site_label
_atom_site_type_symbol
_atom_site_fract_x
_atom_site_fract_y
_atom_site_fract_z
In1 In 0.000 0.000 0.000
In2 In 0.125 0.125 0.625
Co1 Co 0.250 0.250 0.250


Record 4
# PBE InCo, relaxed
# Crystal system: trigonal
data_InCo
_cell_length_a 4.1298
_cell_length_b 4.1298
_cell_length_c 14.1300
_cell_angle_alpha 90.00
_cell_angle_beta 90.00
_cell_angle_gamma 120.00
_symmetry_space_group_name_H-M 'R -3 m'
_symmetry_Int_Tables_number 166
_symmetry_space_group_name_Hall '-R 3 2"'
loop_
_atom_site_label
_atom_site_type_symbol
_atom_site_fract_x
_atom_site_fract_y
_atom_site_fract_z
In1 In 0.0000 0.0000 0.1055
Co1 Co 0.0000 0.0000 0.3179


Record 5
# PBE InCo3, relaxed
# Crystal system: orthorhombic
data_InCo3
_cell_length_a 4.222
_cell_length_b 5.263
_cell_length_c 4.769
_cell_angle_alpha 90.00
_cell_angle_beta 90.00
_cell_angle_gamma 90.00
_symmetry_space_group_name_H-M 'P m m n'
_symmetry_Int_Tables_number 59
loop_
_symmetry_equiv_pos_as_xyz
'x,y,z'
'-x,-y,-z'
'-x+1/2,-y+1/2,z'
'x+1/2,y+1/2,-z'
'x+1/2,-y,-z'
'-x+1/2,y,z'
'-x,y+1/2,-z'
'x,-y+1/2,z'
loop_
_atom_site_label
_atom_site_type_symbol
_atom_site_fract_x
_atom_site_fract_y
_atom_site_fract_z
In1 In 0.250 0.250 0.135
Co1 Co 0.250 0.502 0.637
Co2 Co 0.250 0.750 0.210


Record 6
# PBE InCo, relaxed
# Crystal system: tetragonal
data_InCo
_cell_length_a 7.765
_cell_length_b 7.765
_cell_length_c 4.447
_cell_angle_alpha 90.00
_cell_angle_beta 90.00
_cell_angle_gamma 90.00
_symmetry_space_group_name_H-M 'I 4/m m m'
_symmetry_Int_Tables_number 139
_symmetry_space_group_name_Hall '-I 4 2'
loop_
_atom_site_label
_atom_site_type_symbol
_atom_site_fract_x
_atom_site_fract_y
_atom_site_fract_z
In1 In 0.000 0.280 0.000
Co1 Co 0.155 0.155 0.500


Number 1: Fermi-level density of states 2.02 states/eV/f.u., calculated formation energy 55 meV per atom, size of the total moment 0.00 Bohr magnetons per cell. Number 2: Fermi-level density of states 3.46 states/eV/f.u., calculated formation energy 372 meV per atom, size of the total moment 2.14 Bohr magnetons per cell. Number 3: Fermi-level density of states 4.08 states/eV/f.u., calculated formation energy 554 meV per atom, size of the total moment 7.18 Bohr magnetons per cell. Number 4: Fermi-level density of states 2.42 states/eV/f.u., calculated formation energy 222 meV per atom, size of the total moment 7.84 Bohr magnetons per cell. Number 5: Fermi-level density of states 5.76 states/eV/f.u., calculated formation energy 167 meV per atom, size of the total moment 8.28 Bohr magnetons per cell. Number 6: Fermi-level density of states 1.58 states/eV/f.u., calculated formation energy 180 meV per atom, size of the total moment 9.19 Bohr magnetons per cell.